A relaxed CaAg2O4 crystal, computed with PBEsol.

The space group is Pbcm (No. 57) and the conventional cell measures 3.4099, 10.8458 and 9.7443 Å, with angles of 90.00, 90.00 and 90.00 degrees. The distinct sites, in fractional coordinates, are Ca at (0.1189, 0.1489, 0.2500), Ag at (0.3528, 0.6140, 0.5700), O at (0.0185, 0.7500, 0.0000), O at (0.3645, 0.5432, 0.1185) and O at (0.3797, 0.7007, 0.7500).

As for the calculated volume: 12.871 A^3/atom. As for the uncorrected formation energy: -0.98 eV per atom.


A relaxed RbGaH4 crystal, computed with PBEsol.

The space group is Pnma (No. 62) and the conventional cell measures 9.1703, 5.4802 and 7.2830 Å, with angles of 90.00, 90.00 and 90.00 degrees. The distinct sites, in fractional coordinates, are Rb at (0.1786, 0.2500, 0.1660), Ga at (0.0677, 0.2500, 0.6921), H at (0.0840, 0.0157, 0.8210), H at (0.0885, 0.7500, 0.4015) and H at (0.1986, 0.2500, 0.5494).

As for the calculated volume: 15.251 A^3/atom. The density of states at the Fermi level is 0.0 states/eV/f.u. The calculation puts the total energy at -74.57 eV per cell.


A relaxed Li2CaF crystal, computed with PBEsol.

The space group is Fm-3m (No. 225) and the conventional cell measures 7.1239, 7.1239 and 7.1239 Å, with angles of 90.00, 90.00 and 90.00 degrees. The distinct sites, in fractional coordinates, are Li at (0.2500, 0.2500, 0.2500), Ca at (0.0000, 0.0000, 0.0000) and F at (0.0000, 0.0000, 0.5000).

As for the calculated volume: 22.596 A^3/atom. As for the uncorrected formation energy: -0.40 eV per atom. The density of states at the Fermi level is 2.8 states/eV/f.u.


A relaxed NaNb2AsO8 crystal, computed with PBEsol.

The space group is P2_1/c (No. 14) and the conventional cell measures 4.9326, 8.6076 and 15.1774 Å, with angles of 90.00, 100.09 and 90.00 degrees. The distinct sites, in fractional coordinates, are Na at (0.0364, 0.0207, 0.1178), Nb at (0.0467, 0.0717, 0.6396), Nb at (0.4485, 0.2065, 0.4810), As at (0.3895, 0.7384, 0.2345), O at (0.1514, 0.1108, 0.3907), O at (0.1724, 0.6195, 0.7572), O at (0.1971, 0.7152, 0.9323), O at (0.2726, 0.1235, 0.0046), O at (0.2726, 0.5547, 0.2475), O at (0.2938, 0.2433, 0.2003), O at (0.3165, 0.0438, 0.5615) and O at (0.3939, 0.7161, 0.6241).

As for the calculated volume: 13.217 A^3/atom. As for the uncorrected formation energy: -2.10 eV per atom. The density of states at the Fermi level is 0.0 states/eV/f.u.


A relaxed Al2CrS2 crystal, computed with PBEsol.

The space group is I4/mmm (No. 139) and the conventional cell measures 3.4897, 3.4897 and 14.0717 Å, with angles of 90.00, 90.00 and 90.00 degrees. The distinct sites, in fractional coordinates, are Al at (0.0000, 0.5000, 0.2500), Cr at (0.0000, 0.0000, 0.0000) and S at (0.0000, 0.0000, 0.4023).

As for the calculated volume: 17.136 A^3/atom. As for the uncorrected formation energy: 0.27 eV per atom. The density of states at the Fermi level is 3.7 states/eV/f.u.


A relaxed K2MgZn crystal, computed with PBEsol.

The space group is I-4m2 (No. 119) and the conventional cell measures 5.7457, 5.7457 and 8.0645 Å, with angles of 90.00, 90.00 and 90.00 degrees. The distinct sites, in fractional coordinates, are K at (0.0000, 0.0000, 0.0000), K at (0.0000, 0.5000, 0.2500), Mg at (0.0000, 0.5000, 0.7500) and Zn at (0.0000, 0.0000, 0.5000).

As for the calculated volume: 33.279 A^3/atom. The calculation puts the formation energy at 282.8 meV per atom. The density of states at the Fermi level is 3.0 states/eV/f.u.


A relaxed Re2PtCl crystal, computed with PBEsol.

The space group is C2/m (No. 12) and the conventional cell measures 7.9148, 2.7596 and 5.4796 Å, with angles of 90.00, 99.56 and 90.00 degrees. The distinct sites, in fractional coordinates, are Re at (0.2492, 0.0000, 0.2806), Pt at (0.0000, 0.5000, 0.0000) and Cl at (0.0000, 0.0000, 0.5000).

As for the calculated volume: 14.753 A^3/atom. As for the uncorrected formation energy: 0.69 eV per atom. The density of states at the Fermi level is 2.8 states/eV/f.u.


A relaxed La2Ag crystal, computed with PBEsol.

The space group is I4/mmm (No. 139) and the conventional cell measures 3.7903, 3.7903 and 11.6351 Å, with angles of 90.00, 90.00 and 90.00 degrees. The distinct sites, in fractional coordinates, are La at (0.0000, 0.0000, 0.1539) and Ag at (0.0000, 0.0000, 0.5000).

As for the calculated volume: 27.859 A^3/atom. The calculation puts the formation energy at -133.9 meV per atom. The density of states at the Fermi level is 3.0 states/eV/f.u.


A relaxed CaNi2O4 crystal, computed with PBEsol.

The space group is Pmmn (No. 59, origin choice 2) and the conventional cell measures 5.6846, 10.7585 and 5.0422 Å, with angles of 90.00, 90.00 and 90.00 degrees. The distinct sites, in fractional coordinates, are Ca at (0.2500, 0.2500, 0.0453), Ca at (0.2500, 0.7500, 0.3466), Ni at (0.0000, 0.0000, 0.5000), Ni at (0.2500, 0.5076, 0.9941), O at (0.0025, 0.1034, 0.8490), O at (0.2500, 0.0807, 0.3223) and O at (0.2500, 0.5898, 0.6630).

As for the calculated volume: 11.013 A^3/atom. As for the uncorrected formation energy: -1.44 eV per atom. The density of states at the Fermi level is 3.9 states/eV/f.u.


A relaxed Al2FeTc crystal, computed with PBEsol.

The space group is P4/mmm (No. 123) and the conventional cell measures 2.8930, 2.8930 and 6.0152 Å, with angles of 90.00, 90.00 and 90.00 degrees. The distinct sites, in fractional coordinates, are Al at (0.0000, 0.0000, 0.2257), Fe at (0.5000, 0.5000, 0.0000) and Tc at (0.5000, 0.5000, 0.5000).

As for the calculated volume: 12.586 A^3/atom. The calculation puts the formation energy at -276.8 meV per atom. The density of states at the Fermi level is 4.7 states/eV/f.u.


A relaxed BaTa2Re crystal, computed with PBEsol.

The space group is Cm (No. 8) and the conventional cell measures 9.2013, 3.2359 and 6.7137 Å, with angles of 90.00, 95.15 and 90.00 degrees. The distinct sites, in fractional coordinates, are Ba at (0.0000, 0.0000, 0.0000), Ta at (0.2219, 0.0000, 0.6332), Ta at (0.4850, 0.0000, 0.4769) and Re at (0.2545, 0.5000, 0.3526).

As for the calculated volume: 24.886 A^3/atom. The calculation puts the formation energy at 805.9 meV per atom. The density of states at the Fermi level is 3.6 states/eV/f.u.


A relaxed SrCdAgS2 crystal, computed with PBEsol.

The space group is P4/mmm (No. 123) and the conventional cell measures 5.0712, 5.0712 and 4.9446 Å, with angles of 90.00, 90.00 and 90.00 degrees. The distinct sites, in fractional coordinates, are Sr at (0.0000, 0.0000, 0.0000), Cd at (0.5000, 0.5000, 0.5000), Ag at (0.5000, 0.5000, 0.0000) and S at (0.0000, 0.5000, 0.5000).

As for the calculated volume: 25.432 A^3/atom. As for the uncorrected formation energy: -0.35 eV per atom. The density of states at the Fermi level is 2.0 states/eV/f.u.